# 1
The following is a PBE-GGA calculation of a geometry-optimized RbPm2PbO5 structure, from the Alexandria database.

It has space group I4/mcm (No. 140), with a = 6.910 Å, b = 6.910 Å, c = 12.813 Å, α = 90.00°, β = 90.00° and γ = 90.00°. The inequivalent atoms are Rb at (0.000, 0.000, 0.250), Pm at (0.177, 0.323, 0.000), Pb at (0.000, 0.500, 0.250), O at (0.000, 0.000, 0.000) and O at (0.144, 0.356, 0.385).

The value obtained for the mass density is 7.2 g/cm³. The calculation puts the energy relative to the elements, uncorrected at -2.20 eV/atom. The density of states at the Fermi level comes out at 8.0 states/eV/cell.



# 2
The following is a PBE-GGA calculation of a geometry-optimized RbPm4Pb3O12 structure, from the Alexandria database.

It has space group Im-3 (No. 204), with a = 8.764 Å, b = 8.764 Å, c = 8.764 Å, α = 90.00°, β = 90.00° and γ = 90.00°. The inequivalent atoms are Rb at (0.000, 0.000, 0.000), Pm at (0.250, 0.250, 0.250), Pb at (0.000, 0.000, 0.500) and O at (0.000, 0.176, 0.321).

The value obtained for the mass density is 7.3 g/cm³. The calculation puts the energy relative to the elements, uncorrected at -2.08 eV/atom. The density of states at the Fermi level comes out at 15.0 states/eV/cell.



# 3
The following is a PBE-GGA calculation of a geometry-optimized Rb4Pm3PbO8 structure, from the Alexandria database.

It has space group R-3m (No. 166, hexagonal axes), with a = 7.2746 Å, b = 7.2746 Å, c = 19.8476 Å, α = 90.00°, β = 90.00° and γ = 120.00°. The inequivalent atoms are Rb at (0.0000, 0.0000, 0.0000), Rb at (0.0000, 0.5000, 0.0000), Pm at (0.0000, 0.5000, 0.5000), Pb at (0.0000, 0.0000, 0.5000), O at (0.0000, 0.0000, 0.2261) and O at (0.0078, 0.5039, 0.7716).

The value obtained for the mass density is 6.1 g/cm³. The calculation puts the energy relative to the elements, uncorrected at -2.21 eV/atom. The density of states at the Fermi level comes out at 7.0 states/eV/cell.



# 4
The following is a PBE-GGA calculation of a geometry-optimized PmRe2PbO8 structure, from the Alexandria database.

It has space group P-3m1 (No. 164), with a = 6.0856 Å, b = 6.0856 Å, c = 7.2319 Å, α = 90.00°, β = 90.00° and γ = 120.00°. The inequivalent atoms are Pm at (0.0000, 0.0000, 0.0000), Re at (0.3333, 0.6667, 0.2886), Pb at (0.0000, 0.0000, 0.5000), O at (0.1664, 0.3329, 0.2143) and O at (0.3333, 0.6667, 0.5344).

The value obtained for the mass density is 6.1 g/cm³. The calculation puts the energy relative to the elements, uncorrected at -1.70 eV/atom. The density of states at the Fermi level comes out at 7.3 states/eV/cell.



# 5
The following is a PBE-GGA calculation of a geometry-optimized PmRhPbO4 structure, from the Alexandria database.

It has space group Imma (No. 74), with a = 6.529 Å, b = 7.452 Å, c = 8.898 Å, α = 90.00°, β = 90.00° and γ = 90.00°. The inequivalent atoms are Pm at (0.000, 0.000, 0.000), Rh at (0.250, 0.250, 0.250), Pb at (0.000, 0.250, 0.638), O at (0.000, 0.070, 0.262) and O at (0.225, 0.250, 0.013).

The value obtained for the mass density is 8.0 g/cm³. The calculation puts the energy relative to the elements, uncorrected at -1.72 eV/atom.



# 6
The following is a PBE-GGA calculation of a geometry-optimized PmRu2PbO8 structure, from the Alexandria database.

It has space group P-3m1 (No. 164), with a = 5.9972 Å, b = 5.9972 Å, c = 7.2486 Å, α = 90.00°, β = 90.00° and γ = 120.00°. The inequivalent atoms are Pm at (0.0000, 0.0000, 0.0000), Ru at (0.3333, 0.6667, 0.2942), Pb at (0.0000, 0.0000, 0.5000), O at (0.1652, 0.3303, 0.2181) and O at (0.3333, 0.6667, 0.5375).

The value obtained for the mass density is 5.0 g/cm³. The calculation puts the energy relative to the elements, uncorrected at -1.28 eV/atom. The density of states at the Fermi level comes out at 5.4 states/eV/cell.



# 7
The following is a PBE-GGA calculation of a geometry-optimized PmRuPbO6 structure, from the Alexandria database.

It has space group P312 (No. 149), with a = 5.6776 Å, b = 5.6776 Å, c = 4.8808 Å, α = 90.00°, β = 90.00° and γ = 120.00°. The inequivalent atoms are Pm at (0.0000, 0.0000, 0.0000), Ru at (0.3333, 0.6667, 0.0000), Pb at (0.6667, 0.3333, 0.5000) and O at (0.0577, 0.3830, 0.2254).

The value obtained for the mass density is 6.7 g/cm³. The calculation puts the energy relative to the elements, uncorrected at -1.47 eV/atom. The density of states at the Fermi level comes out at 4.0 states/eV/cell.



# 8
The following is a PBE-GGA calculation of a geometry-optimized Pm3PbSO structure, from the Alexandria database.

It has space group P2_1/m (No. 11), with a = 8.890 Å, b = 4.059 Å, c = 9.237 Å, α = 90.00°, β = 103.77° and γ = 90.00°. The inequivalent atoms are Pm at (0.065, 0.250, 0.347), Pm at (0.330, 0.250, 0.977), Pm at (0.388, 0.750, 0.644), Pb at (0.313, 0.750, 0.271), S at (0.161, 0.250, 0.660) and O at (0.411, 0.750, 0.903).

The value obtained for the mass density is 7.1 g/cm³. The calculation puts the energy relative to the elements, uncorrected at -1.79 eV/atom. The density of states at the Fermi level comes out at 5.0 states/eV/cell.